No. 1
Computed, not measured: a relaxed KP2SeS8 crystal at the GGA-PBE level of DFT.

abc: 5.9413 5.9413 10.4111
angles: 73.42 73.42 60.00
Last column: nearest neighbours and their distance in Å.
Fractional coordinates of all 12 atoms:
K (0.5000, 0.5000, 0.5000)  12 S 3.52-3.85
P (0.2606, 0.2606, 0.2181)  4 S 2.00-2.07
P (0.7394, 0.7394, 0.7819)  4 S 2.00-2.07
Se (0.0000, 0.0000, 0.0000)  6 S 2.56
S (0.1929, 0.1929, 0.4214)  1 P 2.00
S (0.6111, 0.2884, 0.1611)  1 P 2.07
S (0.8071, 0.8071, 0.5786)  1 P 2.00
S (0.9394, 0.6111, 0.1611)  1 P 2.07
S (0.0606, 0.3889, 0.8389)  1 P 2.07
S (0.2884, 0.9394, 0.1611)  1 P 2.07
S (0.7116, 0.0606, 0.8389)  1 P 2.07
S (0.3889, 0.7116, 0.8389)  1 P 2.07

## Properties
DFT total energy: -49.73 eV per cell
ΔE_f (raw): -109 meV per atom

=====

No. 2
Computed, not measured: a relaxed BaSrCu2 crystal at the GGA-PBE level of DFT.

abc: 8.6779 5.4780 3.8716
angles: 90.23 63.17 129.24
Last column: nearest neighbours and their distance in Å.
Fractional coordinates of all 4 atoms:
Ba (0.5000, 0.5000, 0.0000)  8 Cu 3.35-3.36
Cu (0.0000, 0.0000, 0.0000)  4 Sr 3.35-3.36, 4 Ba 3.35-3.36
Cu (0.5000, 0.0000, 0.5000)  4 Ba 3.35-3.36, 4 Sr 3.35-3.36
Sr (0.0000, 0.5000, 0.5000)  8 Cu 3.35-3.36

## Properties
DFT total energy: -11.55 eV per cell
DFT formation energy: 62 meV/atom
energy relative to the lowest polymorph listed for this composition: 108.6 meV per atom

=====

No. 3
Computed, not measured: a relaxed EuY crystal at the GGA-PBE level of DFT.

abc: 3.7213 10.5000 3.7214
angles: 90.00 90.00 89.99
Last column: nearest neighbours and their distance in Å.
Fractional coordinates of all 4 atoms:
Eu (0.2497, 0.6362, 0.2500)  8 Eu 3.72-3.89, 4 Y 3.75
Eu (0.7503, 0.3638, 0.7500)  8 Eu 3.72-3.89, 4 Y 3.75
Y (0.2501, 0.1098, 0.2500)  8 Y 3.50-3.72, 4 Eu 3.75
Y (0.7499, 0.8902, 0.7500)  8 Y 3.50-3.72, 4 Eu 3.75

## Properties
DFT total energy: -33.31 eV per cell
DFT formation energy: 42 meV/atom
energy relative to the lowest polymorph listed for this composition: 0.0 meV per atom

=====

No. 4
Computed, not measured: a relaxed Ce2ErS4 crystal at the GGA-PBE level of DFT.

abc: 3.8322 6.9670 13.3348
angles: 90.00 90.00 105.96
Last column: nearest neighbours and their distance in Å.
Fractional coordinates of all 14 atoms:
Ce (0.1322, 0.2644, 0.4286)  6 S 2.78-2.89
Ce (0.8678, 0.7356, 0.9286)  6 S 2.78-2.89
Ce (0.1322, 0.2644, 0.0714)  6 S 2.78-2.89
Ce (0.8678, 0.7356, 0.5714)  6 S 2.78-2.89
Er (0.6256, 0.2512, 0.7500)  6 S 2.73-2.82
Er (0.3744, 0.7488, 0.2500)  6 S 2.73-2.82
S (0.7811, 0.5621, 0.1268)  2 Er 2.82, 3 Ce 2.86-2.89
S (0.7811, 0.5621, 0.3732)  2 Er 2.82, 3 Ce 2.86-2.89
S (0.2189, 0.4379, 0.8732)  2 Er 2.82, 3 Ce 2.86-2.89
S (0.2189, 0.4379, 0.6268)  2 Er 2.82, 3 Ce 2.86-2.89
S (0.9801, 0.9603, 0.7500)  2 Er 2.73, 2 Ce 2.82
S (0.0199, 0.0397, 0.2500)  2 Er 2.73, 2 Ce 2.82
S (0.5000, 0.0000, 0.0000)  4 Ce 2.78
S (0.5000, 0.0000, 0.5000)  4 Ce 2.78

## Properties
DFT total energy: -93.08 eV per cell
ΔE_f (raw): -1943 meV per atom